Entry from Alexandria via LeMat-Bulk: a geometry-optimized Rb2PuAlS5 structure (PBE-GGA).

Summary:
DOS(E_F)	7.70	states/eV/f.u.
E_tot	-204.55	eV for the cell shown

Cell lengths 3.963, 18.997, 14.521 Å; angles 90.00, 90.00, 90.00 degrees
Space group Cmc2_1 (No. 36)
One atom of each set of equivalent atoms:
Rb: 0.000 0.111 0.000 x4
Rb: 0.000 0.132 0.643 x4
Pu: 0.000 0.202 0.346 x4
Al: 0.000 0.433 0.745 x4
S: 0.000 0.058 0.336 x4
S: 0.000 0.297 0.964 x4
S: 0.000 0.313 0.718 x4
S: 0.000 0.331 0.328 x4
S: 0.000 0.495 0.621 x4